This record from Alexandria describes a relaxed La3In3Cu2 crystal. The functional is PBE.

The structure in CIF format:
```
data_La3In3Cu2
_cell_length_a 4.7482
_cell_length_b 11.0599
_cell_length_c 16.1015
_cell_angle_alpha 90.00
_cell_angle_beta 90.00
_cell_angle_gamma 90.00
_space_group_name_H-M_alt 'C m c m'
_space_group_IT_number 63
_space_group_name_Hall '-C 2c 2'
loop_
_atom_site_label
_atom_site_fract_x
_atom_site_fract_y
_atom_site_fract_z
La1 0.0000 0.0942 0.1081
La2 0.0000 0.3716 0.2500
In1 0.0000 0.3328 0.7500
In2 0.0000 0.3769 0.0389
Cu1 0.0000 0.2045 0.6016
```

Computed properties:
Its total DFT energy (no corrections) is -0.157 hartree per atom.

---

This record from Alexandria describes a relaxed LaInCu5 crystal. The functional is PBE.

The structure in CIF format:
```
data_LaInCu5
_cell_length_a 8.4775
_cell_length_b 5.1346
_cell_length_c 10.6632
_cell_angle_alpha 90.00
_cell_angle_beta 90.00
_cell_angle_gamma 90.00
_space_group_name_H-M_alt 'P n m a'
_space_group_IT_number 62
_space_group_name_Hall '-P 2ac 2n'
loop_
_atom_site_label
_atom_site_fract_x
_atom_site_fract_y
_atom_site_fract_z
La1 0.2438 0.2500 0.0601
In1 0.1395 0.7500 0.8626
Cu1 0.0582 0.7500 0.1090
Cu2 0.0686 0.9995 0.3125
Cu3 0.0809 0.2500 0.5149
Cu4 0.1808 0.2500 0.7431
```

Computed properties:
Its total DFT energy (no corrections) is -0.156 hartree per atom.

---

This record from Alexandria describes a relaxed La3InCu2 crystal. The functional is PBE.

The structure in CIF format:
```
data_La3InCu2
_cell_length_a 3.6862
_cell_length_b 3.6862
_cell_length_c 11.7476
_cell_angle_alpha 90.00
_cell_angle_beta 90.00
_cell_angle_gamma 90.00
_space_group_name_H-M_alt 'P 4/m m m'
_space_group_IT_number 123
_space_group_name_Hall '-P 4 2'
loop_
_atom_site_label
_atom_site_fract_x
_atom_site_fract_y
_atom_site_fract_z
La1 0.0000 0.0000 0.0000
La2 0.0000 0.0000 0.3097
In1 0.5000 0.5000 0.5000
Cu1 0.5000 0.5000 0.1536
```

Computed properties:
Its total DFT energy (no corrections) is -0.167 hartree per atom.

---

This record from Alexandria describes a relaxed La2In12Cu crystal. The functional is PBE.

The structure in CIF format:
```
data_La2In12Cu
_cell_length_a 6.8358
_cell_length_b 6.8358
_cell_length_c 17.3138
_cell_angle_alpha 90.00
_cell_angle_beta 90.00
_cell_angle_gamma 90.00
_space_group_name_H-M_alt 'P 4/n b m'
_space_group_IT_number 125
loop_
_space_group_symop_operation_xyz
'x,y,z'
'-x,-y,-z'
'-y+1/2,x,z'
'y+1/2,-x,-z'
'-x+1/2,-y+1/2,z'
'x+1/2,y+1/2,-z'
'y,-x+1/2,z'
'-y,x+1/2,-z'
'x,-y+1/2,-z'
'-x,y+1/2,z'
'-y+1/2,-x+1/2,-z'
'y+1/2,x+1/2,z'
'-x+1/2,y,-z'
'x+1/2,-y,z'
'y,x,-z'
'-y,-x,z'
loop_
_atom_site_label
_atom_site_fract_x
_atom_site_fract_y
_atom_site_fract_z
La1 0.2500 0.7500 0.2433
In1 0.0010 0.5010 0.0845
In2 0.0854 0.5854 0.5712
In3 0.2500 0.2500 0.1830
In4 0.2500 0.2500 0.3416
Cu1 0.2500 0.7500 0.0000
```

Computed properties:
Its total DFT energy (no corrections) is -0.122 hartree per atom.

---

This record from Alexandria describes a relaxed LaIn2Cu2 crystal. The functional is PBE.

The structure in CIF format:
```
data_LaIn2Cu2
_cell_length_a 8.3612
_cell_length_b 8.3612
_cell_length_c 3.0385
_cell_angle_alpha 90.00
_cell_angle_beta 90.00
_cell_angle_gamma 90.00
_space_group_name_H-M_alt 'P 4/m b m'
_space_group_IT_number 127
_space_group_name_Hall '-P 4 2ab'
loop_
_atom_site_label
_atom_site_fract_x
_atom_site_fract_y
_atom_site_fract_z
La1 0.0000 0.0000 0.0000
In1 0.1312 0.3688 0.0000
Cu1 0.1642 0.6642 0.5000
```

Computed properties:
Its total DFT energy (no corrections) is -0.137 hartree per atom.

---

This record from Alexandria describes a relaxed LaInCu2 crystal. The functional is PBE.

The structure in CIF format:
```
data_LaInCu2
_cell_length_a 3.2808
_cell_length_b 3.2808
_cell_length_c 7.5314
_cell_angle_alpha 90.00
_cell_angle_beta 90.00
_cell_angle_gamma 90.00
_space_group_name_H-M_alt 'P 4 m m'
_space_group_IT_number 99
_space_group_name_Hall 'P 4 -2'
loop_
_atom_site_label
_atom_site_fract_x
_atom_site_fract_y
_atom_site_fract_z
La1 0.0000 0.0000 0.0000
In1 0.5000 0.5000 0.6512
Cu1 0.0000 0.0000 0.4277
Cu2 0.5000 0.5000 0.2800
```

Computed properties:
Its total DFT energy (no corrections) is -0.149 hartree per atom.

---

This record from Alexandria describes a relaxed LaIn4Cu crystal. The functional is PBE.

The structure in CIF format:
```
data_LaIn4Cu
_cell_length_a 8.5949
_cell_length_b 8.5949
_cell_length_c 8.5949
_cell_angle_alpha 90.00
_cell_angle_beta 90.00
_cell_angle_gamma 90.00
_space_group_name_H-M_alt 'F -4 3 m'
_space_group_IT_number 216
_space_group_name_Hall 'F -4 2 3'
loop_
_atom_site_label
_atom_site_fract_x
_atom_site_fract_y
_atom_site_fract_z
La1 0.0000 0.0000 0.0000
In1 0.1249 0.1249 0.6249
Cu1 0.2500 0.2500 0.2500
```

Computed properties:
Its total DFT energy (no corrections) is -0.120 hartree per atom.

---

This record from Alexandria describes a relaxed La2InCu2 crystal. The functional is PBE.

The structure in CIF format:
```
data_La2InCu2
_cell_length_a 7.9027
_cell_length_b 7.9027
_cell_length_c 3.9312
_cell_angle_alpha 90.00
_cell_angle_beta 90.00
_cell_angle_gamma 90.00
_space_group_name_H-M_alt 'P 4/m b m'
_space_group_IT_number 127
_space_group_name_Hall '-P 4 2ab'
loop_
_atom_site_label
_atom_site_fract_x
_atom_site_fract_y
_atom_site_fract_z
La1 0.1787 0.3213 0.0000
In1 0.0000 0.0000 0.5000
Cu1 0.1159 0.6159 0.5000
```

Computed properties:
Its total DFT energy (no corrections) is -0.165 hartree per atom.

---

This record from Alexandria describes a relaxed La2In8Cu crystal. The functional is PBE.

The structure in CIF format:
```
data_La2In8Cu
_cell_length_a 4.7898
_cell_length_b 4.7898
_cell_length_c 12.4645
_cell_angle_alpha 90.00
_cell_angle_beta 90.00
_cell_angle_gamma 90.00
_space_group_name_H-M_alt 'P 4/m m m'
_space_group_IT_number 123
_space_group_name_Hall '-P 4 2'
loop_
_atom_site_label
_atom_site_fract_x
_atom_site_fract_y
_atom_site_fract_z
La1 0.0000 0.0000 0.1938
In1 0.0000 0.5000 0.0000
In2 0.0000 0.5000 0.3787
In3 0.5000 0.5000 0.1942
Cu1 0.0000 0.0000 0.5000
```

Computed properties:
Its total DFT energy (no corrections) is -0.133 hartree per atom.

---

This record from Alexandria describes a relaxed La2InCu2 crystal. The functional is PBE.

The structure in CIF format:
```
data_La2InCu2
_cell_length_a 3.5982
_cell_length_b 3.5982
_cell_length_c 19.1209
_cell_angle_alpha 90.00
_cell_angle_beta 90.00
_cell_angle_gamma 90.00
_space_group_name_H-M_alt 'I 4/m m m'
_space_group_IT_number 139
_space_group_name_Hall '-I 4 2'
loop_
_atom_site_label
_atom_site_fract_x
_atom_site_fract_y
_atom_site_fract_z
La1 0.0000 0.0000 0.1184
In1 0.0000 0.0000 0.5000
Cu1 0.0000 0.5000 0.2500
```

Computed properties:
Its total DFT energy (no corrections) is -0.158 hartree per atom.

---

This record from Alexandria describes a relaxed LaInCu2 crystal. The functional is PBE.

The structure in CIF format:
```
data_LaInCu2
_cell_length_a 4.3402
_cell_length_b 4.3402
_cell_length_c 16.4381
_cell_angle_alpha 90.00
_cell_angle_beta 90.00
_cell_angle_gamma 120.00
_space_group_name_H-M_alt 'R 3 m'
_space_group_IT_number 160
_space_group_name_Hall 'R 3 -2"'
loop_
_atom_site_label
_atom_site_fract_x
_atom_site_fract_y
_atom_site_fract_z
La1 0.0000 0.0000 0.0000
In1 0.0000 0.0000 0.8013
Cu1 0.0000 0.0000 0.2088
Cu2 0.0000 0.0000 0.5377
```

Computed properties:
Its total DFT energy (no corrections) is -0.153 hartree per atom.

---

This record from Alexandria describes a relaxed La2InCu9 crystal. The functional is PBE.

The structure in CIF format:
```
data_La2InCu9
_cell_length_a 5.1659
_cell_length_b 5.1659
_cell_length_c 25.6131
_cell_angle_alpha 90.00
_cell_angle_beta 90.00
_cell_angle_gamma 120.00
_space_group_name_H-M_alt 'R -3 m'
_space_group_IT_number 166
_space_group_name_Hall '-R 3 2"'
loop_
_atom_site_label
_atom_site_fract_x
_atom_site_fract_y
_atom_site_fract_z
La1 0.0000 0.0000 0.1366
In1 0.0000 0.0000 0.0000
Cu1 0.0000 0.0000 0.3328
Cu2 0.0000 0.0000 0.5000
Cu3 0.0003 0.5001 0.0790
```

Computed properties:
Its total DFT energy (no corrections) is -0.153 hartree per atom.

---

This record from Alexandria describes a relaxed La2In6Cu crystal. The functional is PBE.

The structure in CIF format:
```
data_La2In6Cu
_cell_length_a 4.0243
_cell_length_b 4.7750
_cell_length_c 25.7664
_cell_angle_alpha 90.00
_cell_angle_beta 90.00
_cell_angle_gamma 90.00
_space_group_name_H-M_alt 'A m m 2'
_space_group_IT_number 38
_space_group_name_Hall 'A 2 -2'
loop_
_atom_site_label
_atom_site_fract_x
_atom_site_fract_y
_atom_site_fract_z
La1 0.0000 0.0000 0.0000
La2 0.0000 0.0000 0.3303
In1 0.0000 0.0000 0.6189
In2 0.0000 0.0000 0.7374
In3 0.5000 0.0000 0.1058
In4 0.5000 0.0000 0.2195
In5 0.5000 0.0000 0.4438
In6 0.5000 0.0000 0.8782
Cu1 0.5000 0.0000 0.5459
```

Computed properties:
Its total DFT energy (no corrections) is -0.134 hartree per atom.

---

This record from Alexandria describes a relaxed LiLaIn2Cu crystal. The functional is PBE.

The structure in CIF format:
```
data_LiLaIn2Cu
_cell_length_a 5.0171
_cell_length_b 5.0171
_cell_length_c 4.8185
_cell_angle_alpha 90.00
_cell_angle_beta 90.00
_cell_angle_gamma 90.00
_space_group_name_H-M_alt 'P 4/m m m'
_space_group_IT_number 123
_space_group_name_Hall '-P 4 2'
loop_
_atom_site_label
_atom_site_fract_x
_atom_site_fract_y
_atom_site_fract_z
Li1 0.0000 0.0000 0.0000
La1 0.5000 0.5000 0.0000
In1 0.0000 0.5000 0.5000
Cu1 0.0000 0.0000 0.5000
```

Computed properties:
Its total DFT energy (no corrections) is -0.127 hartree per atom.

---

This record from Alexandria describes a relaxed LiLaInCu2 crystal. The functional is PBE.

The structure in CIF format:
```
data_LiLaInCu2
_cell_length_a 5.3521
_cell_length_b 5.3521
_cell_length_c 6.1669
_cell_angle_alpha 90.00
_cell_angle_beta 90.00
_cell_angle_gamma 90.00
_space_group_name_H-M_alt 'P 4/m m m'
_space_group_IT_number 123
_space_group_name_Hall '-P 4 2'
loop_
_atom_site_label
_atom_site_fract_x
_atom_site_fract_y
_atom_site_fract_z
Li1 0.0000 0.0000 0.0000
La1 0.5000 0.5000 0.5000
In1 0.5000 0.5000 0.0000
Cu1 0.0000 0.5000 0.5000
```

Computed properties:
Its total DFT energy (no corrections) is -0.101 hartree per atom.

---

This record from Alexandria describes a relaxed LaLuInCu crystal. The functional is PBE.

The structure in CIF format:
```
data_LaLuInCu
_cell_length_a 7.4410
_cell_length_b 7.4410
_cell_length_c 7.4410
_cell_angle_alpha 90.00
_cell_angle_beta 90.00
_cell_angle_gamma 90.00
_space_group_name_H-M_alt 'F -4 3 m'
_space_group_IT_number 216
_space_group_name_Hall 'F -4 2 3'
loop_
_atom_site_label
_atom_site_fract_x
_atom_site_fract_y
_atom_site_fract_z
La1 0.0000 0.0000 0.0000
Lu1 0.0000 0.0000 0.5000
In1 0.2500 0.2500 0.2500
Cu1 0.2500 0.2500 0.7500
```

Computed properties:
Its total DFT energy (no corrections) is -0.159 hartree per atom.

---

This record from Alexandria describes a relaxed LaMg2InCu crystal. The functional is PBE.

The structure in CIF format:
```
data_LaMg2InCu
_cell_length_a 4.9593
_cell_length_b 4.9593
_cell_length_c 5.0034
_cell_angle_alpha 90.00
_cell_angle_beta 90.00
_cell_angle_gamma 90.00
_space_group_name_H-M_alt 'P 4/m m m'
_space_group_IT_number 123
_space_group_name_Hall '-P 4 2'
loop_
_atom_site_label
_atom_site_fract_x
_atom_site_fract_y
_atom_site_fract_z
La1 0.0000 0.0000 0.0000
Mg1 0.0000 0.5000 0.5000
In1 0.5000 0.5000 0.0000
Cu1 0.5000 0.5000 0.5000
```

Computed properties:
Its total DFT energy (no corrections) is -0.115 hartree per atom.

---

This record from Alexandria describes a relaxed NaLaIn2Cu crystal. The functional is PBE.

The structure in CIF format:
```
data_NaLaIn2Cu
_cell_length_a 6.1189
_cell_length_b 6.1189
_cell_length_c 6.3849
_cell_angle_alpha 90.00
_cell_angle_beta 90.00
_cell_angle_gamma 90.00
_space_group_name_H-M_alt 'P 4/m m m'
_space_group_IT_number 123
_space_group_name_Hall '-P 4 2'
loop_
_atom_site_label
_atom_site_fract_x
_atom_site_fract_y
_atom_site_fract_z
Na1 0.0000 0.0000 0.0000
La1 0.0000 0.0000 0.5000
In1 0.0000 0.5000 0.5000
Cu1 0.5000 0.5000 0.0000
```

Computed properties:
Its total DFT energy (no corrections) is -0.075 hartree per atom.

---

This record from Alexandria describes a relaxed La2InCu12Ni3 crystal. The functional is PBE.

The structure in CIF format:
```
data_La2InCu12Ni3
_cell_length_a 8.6257
_cell_length_b 8.6257
_cell_length_c 12.6394
_cell_angle_alpha 90.00
_cell_angle_beta 90.00
_cell_angle_gamma 120.00
_space_group_name_H-M_alt 'R -3 m'
_space_group_IT_number 166
_space_group_name_Hall '-R 3 2"'
loop_
_atom_site_label
_atom_site_fract_x
_atom_site_fract_y
_atom_site_fract_z
La1 0.0000 0.0000 0.2454
In1 0.0000 0.0000 0.5000
Cu1 0.0063 0.5032 0.2073
Cu2 0.0517 0.5259 0.6032
Ni1 0.0000 0.5000 0.0000
```

Computed properties:
Its total DFT energy (no corrections) is -0.158 hartree per atom.

---

This record from Alexandria describes a relaxed LaInCuNi crystal. The functional is PBE.

The structure in CIF format:
```
data_LaInCuNi
_cell_length_a 6.8214
_cell_length_b 6.8214
_cell_length_c 6.8214
_cell_angle_alpha 90.00
_cell_angle_beta 90.00
_cell_angle_gamma 90.00
_space_group_name_H-M_alt 'F -4 3 m'
_space_group_IT_number 216
_space_group_name_Hall 'F -4 2 3'
loop_
_atom_site_label
_atom_site_fract_x
_atom_site_fract_y
_atom_site_fract_z
La1 0.0000 0.0000 0.0000
In1 0.0000 0.0000 0.5000
Cu1 0.2500 0.2500 0.7500
Ni1 0.2500 0.2500 0.2500
```

Computed properties:
Its total DFT energy (no corrections) is -0.170 hartree per atom.

---

Listing N(E_F) for the structures above in their given order: 31.955, 17.119, 6.423, 9.486, 6.159, 2.528, 16.343, 7.687, 5.602, 13.568, 9.808, 22.665, 16.326, 2.947, 3.486, 12.929, 2.274, 6.081, 25.735, 15.172 states/eV/cell.